BaSi PBE-GGA optimized geometry; raw formation energy = -0.05 eV per atom
1.0
9.567 0.000 0.000
0.000 9.567 0.000
0.000 0.000 9.567
Ba Si
8 8
direct
0.211 0.211 0.789
0.211 0.789 0.211
0.289 0.289 0.289
0.289 0.711 0.711
0.711 0.289 0.711
0.711 0.711 0.289
0.789 0.211 0.211
0.789 0.789 0.789
0.089 0.089 0.089
0.089 0.911 0.911
0.411 0.411 0.589
0.411 0.589 0.411
0.589 0.411 0.411
0.589 0.589 0.589
0.911 0.089 0.911
0.911 0.911 0.089